PBE Na2Si3O7, optimized geometry; space group = C2/c; DFT total energy = -6.97 eV/atom
1.0
4.5053 -2.4526 0.0000
4.5053 2.4526 0.0000
-2.4833 0.0000 11.4425
Na Si O
4 6 14
direct
0.0605 0.6474 0.8184
0.3526 0.9395 0.6816
0.6474 0.0605 0.3184
0.9395 0.3526 0.1816
0.0000 0.5000 0.5000
0.2401 0.6734 0.1152
0.3266 0.7599 0.3848
0.5000 0.0000 0.0000
0.6734 0.2401 0.6152
0.7599 0.3266 0.8848
0.0902 0.1803 0.9632
0.1475 0.8525 0.2500
0.1803 0.0902 0.4632
0.2441 0.5104 0.4109
0.2970 0.4210 0.6272
0.4210 0.2970 0.1272
0.4896 0.7559 0.0891
0.5104 0.2441 0.9109
0.5790 0.7030 0.8728
0.7030 0.5790 0.3728
0.7559 0.4896 0.5891
0.8197 0.9098 0.5368
0.8525 0.1475 0.7500
0.9098 0.8197 0.0368

***

PBE Na2SiO, optimized geometry; E above lowest polymorph = 2.91 eV per formula unit; space group = Fm-3m; DFT total energy = -3.00 eV/atom
1.0
0.0000 3.2863 3.2863
3.2863 0.0000 3.2863
3.2863 3.2863 0.0000
Na Si O
2 1 1
direct
0.2500 0.2500 0.2500
0.7500 0.7500 0.7500
0.0000 0.0000 0.0000
0.5000 0.5000 0.5000

***

PBE Na3Si5O12, optimized geometry; space group = Ia-3d; DFT total energy = -6.91 eV/atom
1.0
-5.8137 5.8137 5.8137
5.8137 -5.8137 5.8137
5.8137 5.8137 -5.8137
Na Si O
12 20 48
direct
0.1250 0.2500 0.3750
0.1250 0.3750 0.7500
0.2500 0.3750 0.1250
0.2500 0.8750 0.6250
0.3750 0.1250 0.2500
0.3750 0.7500 0.1250
0.6250 0.2500 0.8750
0.6250 0.8750 0.7500
0.7500 0.1250 0.3750
0.7500 0.6250 0.8750
0.8750 0.6250 0.2500
0.8750 0.7500 0.6250
0.0000 0.0000 0.0000
0.0000 0.0000 0.5000
0.0000 0.5000 0.0000
0.0000 0.5000 0.5000
0.1250 0.7500 0.8750
0.1250 0.8750 0.2500
0.2500 0.1250 0.8750
0.2500 0.6250 0.3750
0.3750 0.2500 0.6250
0.3750 0.6250 0.7500
0.5000 0.0000 0.0000
0.5000 0.0000 0.5000
0.5000 0.5000 0.0000
0.5000 0.5000 0.5000
0.6250 0.3750 0.2500
0.6250 0.7500 0.3750
0.7500 0.3750 0.6250
0.7500 0.8750 0.1250
0.8750 0.1250 0.7500
0.8750 0.2500 0.1250
0.0036 0.1860 0.1093
0.0036 0.3176 0.8943
0.0767 0.6860 0.6824
0.0767 0.8907 0.3943
0.1057 0.6093 0.4233
0.1057 0.9964 0.6824
0.1093 0.0036 0.1860
0.1093 0.6057 0.9233
0.1824 0.1860 0.5767
0.1824 0.4964 0.6057
0.1860 0.1093 0.0036
0.1860 0.5767 0.1824
0.3140 0.3176 0.9233
0.3140 0.4964 0.3907
0.3176 0.8943 0.0036
0.3176 0.9233 0.3140
0.3907 0.3140 0.4964
0.3907 0.5767 0.8943
0.3943 0.0767 0.8907
0.3943 0.8176 0.5036
0.4233 0.1057 0.6093
0.4233 0.8176 0.8140
0.4964 0.3907 0.3140
0.4964 0.6057 0.1824
0.5036 0.3943 0.8176
0.5036 0.6093 0.6860
0.5767 0.1824 0.1860
0.5767 0.8943 0.3907
0.6057 0.1824 0.4964
0.6057 0.9233 0.1093
0.6093 0.4233 0.1057
0.6093 0.6860 0.5036
0.6824 0.0767 0.6860
0.6824 0.1057 0.9964
0.6860 0.5036 0.6093
0.6860 0.6824 0.0767
0.8140 0.4233 0.8176
0.8140 0.8907 0.9964
0.8176 0.5036 0.3943
0.8176 0.8140 0.4233
0.8907 0.3943 0.0767
0.8907 0.9964 0.8140
0.8943 0.0036 0.3176
0.8943 0.3907 0.5767
0.9233 0.1093 0.6057
0.9233 0.3140 0.3176
0.9964 0.6824 0.1057
0.9964 0.8140 0.8907

***

PBE Na3SiO4, optimized geometry; space group = Immm; DFT total energy = -5.36 eV/atom
1.0
-1.7060 2.7933 5.4586
1.7060 -2.7933 5.4586
1.7060 2.7933 -5.4586
Na Si O
3 1 4
direct
0.0000 0.0000 0.0000
0.2644 0.7644 0.5000
0.7356 0.2356 0.5000
0.5000 0.5000 0.0000
0.1781 0.3907 0.7874
0.3967 0.6093 0.7874
0.6033 0.3907 0.2126
0.8219 0.6093 0.2126

***

PBE NaSiO2, optimized geometry; space group = I-42d; DFT total energy = -5.88 eV/atom
1.0
-2.5664 2.5664 4.1740
2.5664 -2.5664 4.1740
2.5664 2.5664 -4.1740
Na Si O
2 2 4
direct
0.0000 0.0000 0.0000
0.7500 0.2500 0.5000
0.2500 0.7500 0.5000
0.5000 0.5000 0.0000
0.2483 0.6250 0.1233
0.3750 0.4983 0.6233
0.5017 0.1250 0.8767
0.8750 0.7517 0.3767

***

PBE Na2SiO, optimized geometry; E above lowest polymorph = 0.00 eV per formula unit; space group = I-42d; DFT total energy = -3.73 eV/atom
1.0
-4.8119 4.8119 1.8536
4.8119 -4.8119 1.8536
4.8119 4.8119 -1.8536
Na Si O
4 2 2
direct
0.3750 0.2074 0.3324
0.7926 0.1250 0.1676
0.8750 0.0426 0.6676
0.9574 0.6250 0.8324
0.2500 0.7500 0.5000
0.5000 0.5000 0.0000
0.0000 0.0000 0.0000
0.7500 0.2500 0.5000

***

PBE NaSiO2, optimized geometry; space group = Pnma; DFT total energy = -6.03 eV/atom
1.0
4.9366 0.0000 0.0000
0.0000 3.4151 0.0000
0.0000 0.0000 12.5627
Na Si O
4 4 8
direct
0.2350 0.2500 0.0813
0.2650 0.7500 0.5813
0.7350 0.2500 0.4187
0.7650 0.7500 0.9187
0.2174 0.7500 0.3287
0.2826 0.2500 0.8287
0.7174 0.7500 0.1713
0.7826 0.2500 0.6713
0.1166 0.2500 0.7091
0.2425 0.7500 0.8787
0.2575 0.2500 0.3787
0.3834 0.7500 0.2091
0.6166 0.2500 0.7909
0.7425 0.7500 0.6213
0.7575 0.2500 0.1213
0.8834 0.7500 0.2909

***

PBE Na5SiO4, optimized geometry; space group = Pmmn; DFT total energy = -4.92 eV/atom
1.0
6.9646 0.0000 0.0000
0.0000 7.9686 0.0000
0.0000 0.0000 5.4553
Na Si O
10 2 8
direct
0.0011 0.0671 0.2444
0.0011 0.4329 0.2444
0.2500 0.7500 0.2848
0.4989 0.0671 0.2444
0.4989 0.4329 0.2444
0.5011 0.5671 0.7556
0.5011 0.9329 0.7556
0.7500 0.2500 0.7152
0.9989 0.5671 0.7556
0.9989 0.9329 0.7556
0.2500 0.2500 0.7112
0.7500 0.7500 0.2888
0.0518 0.2500 0.8865
0.2500 0.0768 0.5364
0.2500 0.4232 0.5364
0.4482 0.2500 0.8865
0.5518 0.7500 0.1135
0.7500 0.5768 0.4636
0.7500 0.9232 0.4636
0.9482 0.7500 0.1135

***

PBE Na4Sm3SiO8, optimized geometry; space group = R-3m; DFT total energy = -6.41 eV/atom
1.0
3.3768 1.9496 5.6153
-3.3768 1.9496 5.6153
0.0000 -3.8992 5.6153
Na Sm Si O
4 3 1 8
direct
0.0000 0.0000 0.0000
0.0000 0.5000 0.5000
0.5000 0.0000 0.5000
0.5000 0.5000 0.0000
0.0000 0.0000 0.5000
0.0000 0.5000 0.0000
0.5000 0.0000 0.0000
0.5000 0.5000 0.5000
0.2424 0.2424 0.2424
0.2903 0.6991 0.6991
0.3009 0.3009 0.7097
0.3009 0.7097 0.3009
0.6991 0.2903 0.6991
0.6991 0.6991 0.2903
0.7097 0.3009 0.3009
0.7576 0.7576 0.7576

***

PBE NaSm2SiO5, optimized geometry; space group = P4/mbm; DFT total energy = -7.13 eV/atom
1.0
6.7454 0.0000 0.0000
0.0000 6.7454 0.0000
0.0000 0.0000 5.3916
Na Sm Si O
2 4 2 10
direct
0.0000 0.0000 0.0000
0.5000 0.5000 0.0000
0.1792 0.3208 0.5000
0.3208 0.8208 0.5000
0.6792 0.1792 0.5000
0.8208 0.6792 0.5000
0.0000 0.5000 0.0000
0.5000 0.0000 0.0000
0.0000 0.0000 0.5000
0.1261 0.6261 0.2311
0.1261 0.6261 0.7689
0.3739 0.1261 0.2311
0.3739 0.1261 0.7689
0.5000 0.5000 0.5000
0.6261 0.8739 0.2311
0.6261 0.8739 0.7689
0.8739 0.3739 0.2311
0.8739 0.3739 0.7689

***

PBE NaSmSiO4, optimized geometry; E above lowest polymorph = 0.00 eV per formula unit; space group = I4/m; DFT total energy = -7.37 eV/atom
1.0
-5.9637 5.9637 2.6927
5.9637 -5.9637 2.6927
5.9637 5.9637 -2.6927
Na Sm Si O
4 4 4 16
direct
0.0869 0.6069 0.6939
0.3931 0.0869 0.4800
0.6069 0.9131 0.5200
0.9131 0.3931 0.3061
0.1218 0.1913 0.3131
0.1913 0.8782 0.0695
0.8087 0.1218 0.9305
0.8782 0.8087 0.6869
0.2615 0.4021 0.6636
0.4021 0.7385 0.1405
0.5979 0.2615 0.8595
0.7385 0.5979 0.3364
0.0495 0.2033 0.7660
0.1218 0.3968 0.5186
0.2033 0.4373 0.1538
0.2698 0.6947 0.9645
0.2834 0.0495 0.8462
0.3053 0.2698 0.5750
0.3968 0.8782 0.2750
0.4373 0.2834 0.2340
0.5627 0.7166 0.7660
0.6032 0.1218 0.7250
0.6947 0.7302 0.4250
0.7166 0.9505 0.1538
0.7302 0.3053 0.0355
0.7967 0.5627 0.8462
0.8782 0.6032 0.4814
0.9505 0.7967 0.2340

***

PBE NaSmSiO4, optimized geometry; E above lowest polymorph = 0.40 eV per formula unit; space group = P2_1/m; DFT total energy = -7.31 eV/atom
1.0
5.9061 0.0000 0.0000
0.0000 5.5393 0.0000
-0.2796 0.0000 6.9222
Na Sm Si O
2 2 2 8
direct
0.0875 0.2500 0.1401
0.9125 0.7500 0.8599
0.3043 0.2500 0.5809
0.6957 0.7500 0.4191
0.1880 0.7500 0.3414
0.8120 0.2500 0.6586
0.0285 0.2500 0.8146
0.0843 0.7500 0.5589
0.3605 0.5163 0.3229
0.3605 0.9837 0.3229
0.6395 0.0163 0.6771
0.6395 0.4837 0.6771
0.9157 0.2500 0.4411
0.9715 0.7500 0.1854

***

PBE Na3Sm3SiO8, optimized geometry; space group = R-3m; DFT total energy = -6.78 eV/atom
1.0
3.3740 1.9480 5.5462
-3.3740 1.9480 5.5462
0.0000 -3.8960 5.5462
Na Sm Si O
3 3 1 8
direct
0.0000 0.5000 0.5000
0.5000 0.0000 0.5000
0.5000 0.5000 0.0000
0.0000 0.0000 0.5000
0.0000 0.5000 0.0000
0.5000 0.0000 0.0000
0.5000 0.5000 0.5000
0.2393 0.2393 0.2393
0.2903 0.6985 0.6985
0.3015 0.3015 0.7097
0.3015 0.7097 0.3015
0.6985 0.2903 0.6985
0.6985 0.6985 0.2903
0.7097 0.3015 0.3015
0.7607 0.7607 0.7607

***

PBE NaSm2SiO6, optimized geometry; space group = P2_1/c; DFT total energy = -7.32 eV/atom
1.0
5.4071 0.0000 0.0000
0.0000 5.7669 0.0000
-5.1888 0.0000 7.6842
Na Sm Si O
2 4 2 12
direct
0.0000 0.0000 0.0000
0.0000 0.5000 0.5000
0.2227 0.0685 0.7448
0.2227 0.4315 0.2448
0.7773 0.5685 0.7552
0.7773 0.9315 0.2552
0.5000 0.0000 0.5000
0.5000 0.5000 0.0000
0.1799 0.1674 0.4535
0.1799 0.3326 0.9535
0.2758 0.7352 0.4347
0.2758 0.7648 0.9347
0.3922 0.0442 0.2820
0.3922 0.4558 0.7820
0.6078 0.5442 0.2180
0.6078 0.9558 0.7180
0.7242 0.2352 0.0653
0.7242 0.2648 0.5653
0.8201 0.6674 0.0465
0.8201 0.8326 0.5465

***

PBE NaSmSi2O6, optimized geometry; space group = C2/c; DFT total energy = -7.40 eV/atom
1.0
3.7091 -5.5707 0.0000
3.7091 5.5707 0.0000
-1.7449 0.0000 6.5739
Na Sm Si O
2 2 4 12
direct
0.0365 0.9635 0.7500
0.9635 0.0365 0.2500
0.4121 0.5879 0.2500
0.5879 0.4121 0.7500
0.1681 0.4896 0.6252
0.4896 0.1681 0.1252
0.5104 0.8319 0.8748
0.8319 0.5104 0.3748
0.0595 0.4702 0.3478
0.2001 0.2588 0.5965
0.2588 0.2001 0.0965
0.3020 0.5902 0.8961
0.4098 0.6980 0.6039
0.4702 0.0595 0.8478
0.5298 0.9405 0.1522
0.5902 0.3020 0.3961
0.6980 0.4098 0.1039
0.7412 0.7999 0.9035
0.7999 0.7412 0.4035
0.9405 0.5298 0.6522